Entry 1:
Compound: Fe2MoIr
Source: Alexandria via LeMat-Bulk
Functional: GGA-PBE
Structure: relaxed

The structure in CIF format:
```
data_Fe2MoIr
_chemical_formula_sum 'Fe2 Mo1 Ir1'
_symmetry_space_group_name_H-M 'P 1'
_symmetry_Int_Tables_number 1
_symmetry_space_group_name_Hall 'P 1'
_cell_length_a 4.531
_cell_length_b 2.695
_cell_length_c 4.667
_cell_angle_alpha 90.00
_cell_angle_beta 109.66
_cell_angle_gamma 90.00
loop_
_atom_site_label
_atom_site_type_symbol
_atom_site_fract_x
_atom_site_fract_y
_atom_site_fract_z
Fe1 Fe 0.000 0.000 0.000
Fe2 Fe 0.000 0.500 0.500
Mo1 Mo 0.500 0.000 0.500
Ir1 Ir 0.500 0.500 0.000
```

Values from the calculation:
magnetization	3.46	Bohr magnetons per cell


Entry 2:
Compound: RbHf2Sc
Source: Alexandria via LeMat-Bulk
Functional: GGA-PBE
Structure: relaxed

The structure in CIF format:
```
data_RbHf2Sc
_chemical_formula_sum 'Rb4 Hf8 Sc4'
_symmetry_space_group_name_H-M 'P 1'
_symmetry_Int_Tables_number 1
_symmetry_space_group_name_Hall 'P 1'
_cell_length_a 7.568
_cell_length_b 7.568
_cell_length_c 7.568
_cell_angle_alpha 90.00
_cell_angle_beta 90.00
_cell_angle_gamma 90.00
loop_
_atom_site_label
_atom_site_type_symbol
_atom_site_fract_x
_atom_site_fract_y
_atom_site_fract_z
Rb1 Rb 0.000 0.000 0.000
Rb2 Rb 0.000 0.500 0.500
Rb3 Rb 0.500 0.000 0.500
Rb4 Rb 0.500 0.500 0.000
Hf1 Hf 0.250 0.250 0.250
Hf2 Hf 0.250 0.250 0.750
Hf3 Hf 0.250 0.750 0.250
Hf4 Hf 0.250 0.750 0.750
Hf5 Hf 0.750 0.250 0.250
Hf6 Hf 0.750 0.250 0.750
Hf7 Hf 0.750 0.750 0.250
Hf8 Hf 0.750 0.750 0.750
Sc1 Sc 0.000 0.000 0.500
Sc2 Sc 0.000 0.500 0.000
Sc3 Sc 0.500 0.000 0.000
Sc4 Sc 0.500 0.500 0.500
```

Values from the calculation:
magnetization	6.05	Bohr magnetons per cell
energy above the most stable polymorph in this dataset	0	meV/atom


Entry 3:
Compound: Pm5Pr2Nd2
Source: Alexandria via LeMat-Bulk
Functional: GGA-PBE
Structure: relaxed

The structure in CIF format:
```
data_Pm5Pr2Nd2
_chemical_formula_sum 'Pm5 Pr2 Nd2'
_symmetry_space_group_name_H-M 'P 1'
_symmetry_Int_Tables_number 1
_symmetry_space_group_name_Hall 'P 1'
_cell_length_a 9.184
_cell_length_b 9.184
_cell_length_c 10.071
_cell_angle_alpha 98.42
_cell_angle_beta 98.42
_cell_angle_gamma 22.30
loop_
_atom_site_label
_atom_site_type_symbol
_atom_site_fract_x
_atom_site_fract_y
_atom_site_fract_z
Pm1 Pm 0.000 0.000 0.000
Pm2 Pm 0.175 0.175 0.869
Pm3 Pm 0.330 0.330 0.462
Pm4 Pm 0.670 0.670 0.538
Pm5 Pm 0.825 0.825 0.131
Pr1 Pr 0.163 0.163 0.226
Pr2 Pr 0.837 0.837 0.774
Nd1 Nd 0.495 0.495 0.313
Nd2 Nd 0.505 0.505 0.687
```

Values from the calculation:
magnetization	0.00	Bohr magnetons per cell
energy above the most stable polymorph in this dataset	0	meV/atom


Entry 4:
Compound: Sr2CePd
Source: Alexandria via LeMat-Bulk
Functional: GGA-PBE
Structure: relaxed

The structure in CIF format:
```
data_Sr2CePd
_chemical_formula_sum 'Sr6 Ce3 Pd3'
_symmetry_space_group_name_H-M 'P 1'
_symmetry_Int_Tables_number 1
_symmetry_space_group_name_Hall 'P 1'
_cell_length_a 3.939
_cell_length_b 3.939
_cell_length_c 34.033
_cell_angle_alpha 90.00
_cell_angle_beta 90.00
_cell_angle_gamma 120.00
loop_
_atom_site_label
_atom_site_type_symbol
_atom_site_fract_x
_atom_site_fract_y
_atom_site_fract_z
Sr1 Sr 0.000 0.000 0.110
Sr2 Sr 0.000 0.000 0.890
Sr3 Sr 0.333 0.667 0.557
Sr4 Sr 0.333 0.667 0.777
Sr5 Sr 0.667 0.333 0.223
Sr6 Sr 0.667 0.333 0.443
Ce1 Ce 0.000 0.000 0.000
Ce2 Ce 0.333 0.667 0.667
Ce3 Ce 0.667 0.333 0.333
Pd1 Pd 0.000 0.000 0.500
Pd2 Pd 0.333 0.667 0.167
Pd3 Pd 0.667 0.333 0.833
```

Values from the calculation:
magnetization	5.63	Bohr magnetons per cell


The ΔE_f results, record by record, are as follows: 46.0 1279.7 130.9 73.4 meV/atom.
The uncorrected energy results, record by record, are as follows: -9.108 -5.522 -4.630 -3.549 eV/atom.